Entry 1:
Computed, not measured: a geometry-optimized NdYLuCd structure at the PBE level of DFT.

```
data_NdYLuCd
_space_group_name_H-M_alt 'F -4 3 m'
_space_group_IT_number 216
_space_group_name_Hall 'F -4 2 3'
_cell_length_a 7.752
_cell_length_b 7.752
_cell_length_c 7.752
_cell_angle_alpha 90.00
_cell_angle_beta 90.00
_cell_angle_gamma 90.00
loop_
_atom_site_label
_atom_site_type_symbol
_atom_site_fract_x
_atom_site_fract_y
_atom_site_fract_z
_atom_site_occupancy
Nd1 Nd 0.000 0.000 0.000 1
Y1 Y 0.000 0.000 0.500 1
Lu1 Lu 0.250 0.250 0.750 1
Cd1 Cd 0.250 0.250 0.250 1
```

Results
Its formation enthalpy at 0 K is -0.054 eV/atom. The calculation puts the total magnetic moment at 0.002 μB per cell.


Entry 2:
Computed, not measured: a geometry-optimized Lu2CdNi structure at the PBE level of DFT.

```
data_Lu2CdNi
_space_group_name_H-M_alt 'R -3 m'
_space_group_IT_number 166
_space_group_name_Hall '-R 3 2"'
_cell_length_a 3.7743
_cell_length_b 3.7743
_cell_length_c 23.5672
_cell_angle_alpha 90.00
_cell_angle_beta 90.00
_cell_angle_gamma 120.00
loop_
_atom_site_label
_atom_site_type_symbol
_atom_site_fract_x
_atom_site_fract_y
_atom_site_fract_z
_atom_site_occupancy
Lu1 Lu 0.0000 0.0000 0.2304 1
Cd1 Cd 0.0000 0.0000 0.0000 1
Ni1 Ni 0.0000 0.0000 0.5000 1
```

Results
Its formation enthalpy at 0 K is -0.245 eV/atom. The calculation puts the total magnetic moment at 0.003 μB per cell. As for the offset from the most stable computed form: 166.0 meV per atom.


Entry 3:
Computed, not measured: a geometry-optimized LuCdNi4 structure at the PBE level of DFT.

```
data_LuCdNi4
_space_group_name_H-M_alt 'F -4 3 m'
_space_group_IT_number 216
_space_group_name_Hall 'F -4 2 3'
_cell_length_a 6.978
_cell_length_b 6.978
_cell_length_c 6.978
_cell_angle_alpha 90.00
_cell_angle_beta 90.00
_cell_angle_gamma 90.00
loop_
_atom_site_label
_atom_site_type_symbol
_atom_site_fract_x
_atom_site_fract_y
_atom_site_fract_z
_atom_site_occupancy
Lu1 Lu 0.000 0.000 0.000 1
Cd1 Cd 0.250 0.250 0.250 1
Ni1 Ni 0.124 0.124 0.624 1
```

Results
Its formation enthalpy at 0 K is -0.379 eV/atom. The calculation puts the total magnetic moment at 0.000 μB per cell.


Entry 4:
Computed, not measured: a geometry-optimized Lu4CdNi structure at the PBE level of DFT.

```
data_Lu4CdNi
_space_group_name_H-M_alt 'F -4 3 m'
_space_group_IT_number 216
_space_group_name_Hall 'F -4 2 3'
_cell_length_a 13.226
_cell_length_b 13.226
_cell_length_c 13.226
_cell_angle_alpha 90.00
_cell_angle_beta 90.00
_cell_angle_gamma 90.00
loop_
_atom_site_label
_atom_site_type_symbol
_atom_site_fract_x
_atom_site_fract_y
_atom_site_fract_z
_atom_site_occupancy
Lu1 Lu 0.000 0.000 0.186 1
Lu2 Lu 0.062 0.250 0.750 1
Lu3 Lu 0.098 0.098 0.402 1
Cd1 Cd 0.169 0.169 0.169 1
Ni1 Ni 0.108 0.108 0.608 1
```

Results
Its formation enthalpy at 0 K is -0.324 eV/atom. The calculation puts the total magnetic moment at 0.000 μB per cell.


Entry 5:
Computed, not measured: a geometry-optimized Lu2CdNi structure at the PBE level of DFT.

```
data_Lu2CdNi
_space_group_name_H-M_alt 'F m -3 m'
_space_group_IT_number 225
_space_group_name_Hall '-F 4 2 3'
_cell_length_a 6.997
_cell_length_b 6.997
_cell_length_c 6.997
_cell_angle_alpha 90.00
_cell_angle_beta 90.00
_cell_angle_gamma 90.00
loop_
_atom_site_label
_atom_site_type_symbol
_atom_site_fract_x
_atom_site_fract_y
_atom_site_fract_z
_atom_site_occupancy
Lu1 Lu 0.250 0.250 0.250 1
Cd1 Cd 0.000 0.000 0.000 1
Ni1 Ni 0.000 0.000 0.500 1
```

Results
Its formation enthalpy at 0 K is -0.300 eV/atom. The calculation puts the total magnetic moment at 0.000 μB per cell. As for the offset from the most stable computed form: 110.2 meV per atom.


Entry 6:
Computed, not measured: a geometry-optimized Lu2CdNi structure at the PBE level of DFT.

```
data_Lu2CdNi
_space_group_name_H-M_alt 'P 4/m m m'
_space_group_IT_number 123
_space_group_name_Hall '-P 4 2'
_cell_length_a 3.378
_cell_length_b 3.378
_cell_length_c 7.475
_cell_angle_alpha 90.00
_cell_angle_beta 90.00
_cell_angle_gamma 90.00
loop_
_atom_site_label
_atom_site_type_symbol
_atom_site_fract_x
_atom_site_fract_y
_atom_site_fract_z
_atom_site_occupancy
Lu1 Lu 0.000 0.000 0.212 1
Cd1 Cd 0.500 0.500 0.500 1
Ni1 Ni 0.500 0.500 0.000 1
```

Results
Its formation enthalpy at 0 K is -0.411 eV/atom. The calculation puts the total magnetic moment at 0.000 μB per cell. As for the offset from the most stable computed form: 0.0 meV per atom.


Entry 7:
Computed, not measured: a geometry-optimized PrLuCdNi structure at the PBE level of DFT.

```
data_PrLuCdNi
_space_group_name_H-M_alt 'F -4 3 m'
_space_group_IT_number 216
_space_group_name_Hall 'F -4 2 3'
_cell_length_a 7.232
_cell_length_b 7.232
_cell_length_c 7.232
_cell_angle_alpha 90.00
_cell_angle_beta 90.00
_cell_angle_gamma 90.00
loop_
_atom_site_label
_atom_site_type_symbol
_atom_site_fract_x
_atom_site_fract_y
_atom_site_fract_z
_atom_site_occupancy
Pr1 Pr 0.000 0.000 0.000 1
Lu1 Lu 0.000 0.000 0.500 1
Cd1 Cd 0.250 0.250 0.750 1
Ni1 Ni 0.250 0.250 0.250 1
```

Results
Its formation enthalpy at 0 K is -0.208 eV/atom. The calculation puts the total magnetic moment at 0.001 μB per cell.


Entry 8:
Computed, not measured: a geometry-optimized LuCdNiRu structure at the PBE level of DFT.

```
data_LuCdNiRu
_space_group_name_H-M_alt 'F -4 3 m'
_space_group_IT_number 216
_space_group_name_Hall 'F -4 2 3'
_cell_length_a 6.497
_cell_length_b 6.497
_cell_length_c 6.497
_cell_angle_alpha 90.00
_cell_angle_beta 90.00
_cell_angle_gamma 90.00
loop_
_atom_site_label
_atom_site_type_symbol
_atom_site_fract_x
_atom_site_fract_y
_atom_site_fract_z
_atom_site_occupancy
Lu1 Lu 0.000 0.000 0.000 1
Cd1 Cd 0.000 0.000 0.500 1
Ni1 Ni 0.250 0.250 0.750 1
Ru1 Ru 0.250 0.250 0.250 1
```

Results
Its formation enthalpy at 0 K is -0.133 eV/atom. The calculation puts the total magnetic moment at 0.000 μB per cell.


no.,electronic total energy (eV per formula unit)
1,-16.9
2,-16.7
3,-30.8
4,-26.7
5,-16.9
6,-17.4
7,-16.8
8,-21.0